A geometry-optimized Ce2BeC2 structure. Source: the Alexandria database, functional PBE-GGA.

Structure (extended XYZ):
```
20
Lattice="5.224 0.000 0.000 0.000 7.142 0.000 0.000 0.000 8.662" Properties=species:S:1:pos:R:3 pbc="T T T"
Ce 1.306 6.083 0.756
Ce 1.306 2.512 3.576
Ce 3.918 1.058 7.907
Ce 3.918 4.629 5.087
Ce 1.306 3.513 7.267
Ce 3.918 0.058 2.936
Ce 1.306 7.083 5.726
Ce 3.918 3.629 1.395
C 3.918 3.585 7.413
C 1.306 1.028 7.962
C 1.306 3.557 1.249
C 1.306 4.599 5.031
C 3.918 2.542 3.631
C 1.306 7.127 3.082
C 3.918 0.014 5.580
C 3.918 6.113 0.700
Be 3.918 5.258 7.867
Be 1.306 5.454 3.536
Be 1.306 1.883 0.795
Be 3.918 1.688 5.126
```

Results
**Total magnetization**: 0.7 μB per formula unit
**Mass density**: 6.4 g/cm3
**Energy of formation**: -0.092 eV/atom
**Calculated total energy**: -6.900 eV/atom